(1)
CoAuO3 | the Alexandria database | PBE+U | relaxed; E = -4.1412 eV per atom; space-group type = Pm-3m (221); crystal system = cubic
1.0
3.9900 0.0000 0.0000
0.0000 3.9900 0.0000
0.0000 0.0000 3.9900
Co Au O
1 1 3
Direct
0.0000 0.0000 0.0000 Co
0.5000 0.5000 0.5000 Au
0.0000 0.5000 0.5000 O
0.5000 0.0000 0.5000 O
0.5000 0.5000 0.0000 O



(2)
CoAuO2 | the Alexandria database | PBE+U | relaxed; E = -5.2345 eV per atom; space-group type = P6_3/mmc (194); crystal system = hexagonal
1.0
2.9216 0.0000 0.0000
-1.4608 2.5301 0.0000
0.0000 0.0000 12.2970
Co Au O
2 2 4
Direct
0.0000 0.0000 0.0000 Co
0.0000 0.0000 0.5000 Co
0.3333 0.6667 0.2500 Au
0.6667 0.3333 0.7500 Au
0.3333 0.6667 0.0777 O
0.3333 0.6667 0.4223 O
0.6667 0.3333 0.5777 O
0.6667 0.3333 0.9223 O



(3)
CoAuO3 | the Alexandria database | PBE+U | relaxed; E = -4.8984 eV per atom; space-group type = Cmcm (63); crystal system = orthorhombic
1.0
1.4136 -7.9191 0.0000
1.4136 7.9191 0.0000
0.0000 0.0000 6.3484
Co Au O
2 2 6
Direct
0.1104 0.8896 0.7500 Co
0.8896 0.1104 0.2500 Co
0.3738 0.6262 0.7500 Au
0.6262 0.3738 0.2500 Au
0.0055 0.9945 0.7500 O
0.3613 0.6387 0.0646 O
0.3613 0.6387 0.4354 O
0.6387 0.3613 0.5646 O
0.6387 0.3613 0.9354 O
0.9945 0.0055 0.2500 O



(4)
CoAuO2 | the Alexandria database | PBE+U | relaxed; E = -4.4501 eV per atom; space-group type = R-3m (166); crystal system = trigonal
1.0
1.6367 0.9449 6.0119
-1.6367 0.9449 6.0119
0.0000 -1.8899 6.0119
Co Au O
1 1 2
Direct
0.0000 0.0000 0.0000 Co
0.5000 0.5000 0.5000 Au
0.0982 0.0982 0.0982 O
0.9018 0.9018 0.9018 O